(1)
VASP calculation (PBE) on a geometry-optimized LiSi3O structure.

Lattice parameters (Å, degrees): 4.2575 4.2575 4.2575 90.00 90.00 90.00
Space group Pm-3m (No. 221)
One atom of each set of equivalent atoms:
Li 0.0000 0.0000 0.0000 (multiplicity 1)
Si 0.0000 0.0000 0.5000 (multiplicity 3)
O 0.5000 0.5000 0.5000 (multiplicity 1)

As for the crystal system: cubic. Its offset from the most stable computed form is 888 meV/atom.

=====

(2)
VASP calculation (PBE) on a geometry-optimized Li2Si2O structure.

Lattice parameters (Å, degrees): 3.2711 3.2711 12.5178 90.00 90.00 90.00
Space group I4/mmm (No. 139)
One atom of each set of equivalent atoms:
Li 0.0000 0.5000 0.2500 (multiplicity 4)
Si 0.0000 0.0000 0.0878 (multiplicity 4)
O 0.0000 0.0000 0.5000 (multiplicity 2)

As for the crystal system: tetragonal. Its offset from the most stable computed form is 409 meV/atom.

=====

(3)
VASP calculation (PBE) on a geometry-optimized LiSi2O structure.

Lattice parameters (Å, degrees): 4.4104 4.4104 12.7201 90.00 90.00 90.00
Space group I-42d (No. 122)
One atom of each set of equivalent atoms:
Li 0.0000 0.0000 0.0000 (multiplicity 4)
Si 0.1016 0.2500 0.6250 (multiplicity 8)
O 0.0000 0.0000 0.5000 (multiplicity 4)

As for the crystal system: tetragonal.

=====

(4)
VASP calculation (PBE) on a geometry-optimized LiSiO2 structure.

Lattice parameters (Å, degrees): 3.0594 3.0594 16.1878 90.00 90.00 120.00
Space group R-3m (No. 166, hexagonal axes)
One atom of each set of equivalent atoms:
Li 0.0000 0.0000 0.0000 (multiplicity 3)
Si 0.0000 0.0000 0.5000 (multiplicity 3)
O 0.0000 0.0000 0.4032 (multiplicity 6)

As for the crystal system: trigonal.

=====

(5)
VASP calculation (PBE) on a geometry-optimized Li4SiO4 structure.

Lattice parameters (Å, degrees): 11.7539 6.1339 16.9015 90.00 98.97 90.00
Space group P2_1 (No. 4)
One atom of each set of equivalent atoms:
Li 0.0018 0.2291 0.4851 (multiplicity 2)
Li 0.0254 0.2220 0.0699 (multiplicity 2)
Li 0.0470 0.9943 0.7888 (multiplicity 2)
Li 0.0475 0.0299 0.3411 (multiplicity 2)
Li 0.0555 0.4384 0.7984 (multiplicity 2)
Li 0.0925 0.5306 0.3789 (multiplicity 2)
Li 0.1361 0.7254 0.2362 (multiplicity 2)
Li 0.1374 0.7394 0.6436 (multiplicity 2)
Li 0.1404 0.2258 0.2052 (multiplicity 2)
Li 0.1863 0.9744 0.9540 (multiplicity 2)
Li 0.1881 0.0000 0.5077 (multiplicity 2)
Li 0.1881 0.4686 0.9554 (multiplicity 2)
Li 0.1964 0.4423 0.5180 (multiplicity 2)
Li 0.2364 0.9344 0.0987 (multiplicity 2)
Li 0.2379 0.5153 0.0992 (multiplicity 2)
Li 0.2703 0.2206 0.8033 (multiplicity 2)
Li 0.2739 0.7410 0.3608 (multiplicity 2)
Li 0.3358 0.0097 0.2335 (multiplicity 2)
Li 0.3358 0.4451 0.2343 (multiplicity 2)
Li 0.3369 0.4660 0.6729 (multiplicity 2)
Li 0.3370 0.9839 0.6718 (multiplicity 2)
Li 0.3819 0.9684 0.9086 (multiplicity 2)
Li 0.3827 0.4778 0.9087 (multiplicity 2)
Li 0.4097 0.2234 0.5165 (multiplicity 2)
Li 0.4142 0.7246 0.0557 (multiplicity 2)
Li 0.4518 0.7257 0.7759 (multiplicity 2)
Li 0.4766 0.4688 0.3837 (multiplicity 2)
Li 0.4771 0.9822 0.3834 (multiplicity 2)
Si 0.0406 0.7210 0.0791 (multiplicity 2)
Si 0.1046 0.2305 0.6432 (multiplicity 2)
Si 0.2024 0.7202 0.7915 (multiplicity 2)
Si 0.2450 0.2334 0.3609 (multiplicity 2)
Si 0.3425 0.7228 0.5065 (multiplicity 2)
Si 0.3829 0.2243 0.0719 (multiplicity 2)
Si 0.4794 0.7252 0.2145 (multiplicity 2)
O 0.0101 0.2295 0.7076 (multiplicity 2)
O 0.0654 0.7122 0.7430 (multiplicity 2)
O 0.0697 0.5029 0.1384 (multiplicity 2)
O 0.0696 0.9410 0.1374 (multiplicity 2)
O 0.0718 0.0173 0.5816 (multiplicity 2)
O 0.0764 0.4540 0.5863 (multiplicity 2)
O 0.0898 0.2217 0.9696 (multiplicity 2)
O 0.1329 0.7208 0.0149 (multiplicity 2)
O 0.1528 0.2337 0.4268 (multiplicity 2)
O 0.2041 0.7162 0.4607 (multiplicity 2)
O 0.2113 0.0186 0.3005 (multiplicity 2)
O 0.2145 0.9449 0.8453 (multiplicity 2)
O 0.2162 0.4562 0.3040 (multiplicity 2)
O 0.2189 0.4984 0.8469 (multiplicity 2)
O 0.2371 0.2236 0.6870 (multiplicity 2)
O 0.2848 0.7251 0.7216 (multiplicity 2)
O 0.3026 0.2257 0.1475 (multiplicity 2)
O 0.3381 0.7259 0.1741 (multiplicity 2)
O 0.3438 0.0030 0.0190 (multiplicity 2)
O 0.3450 0.4461 0.0193 (multiplicity 2)
O 0.3564 0.9478 0.5599 (multiplicity 2)
O 0.3604 0.5007 0.5615 (multiplicity 2)
O 0.3795 0.2248 0.4004 (multiplicity 2)
O 0.4223 0.7257 0.4347 (multiplicity 2)
O 0.4419 0.2231 0.8579 (multiplicity 2)
O 0.4790 0.7234 0.8942 (multiplicity 2)
O 0.4988 0.5043 0.2706 (multiplicity 2)
O 0.4985 0.9469 0.2701 (multiplicity 2)

As for the crystal system: monoclinic.

=====

(6)
VASP calculation (PBE) on a geometry-optimized LiSiO2 structure.

Lattice parameters (Å, degrees): 2.7237 2.7237 21.4475 90.00 90.00 120.00
Space group R-3m (No. 166, hexagonal axes)
One atom of each set of equivalent atoms:
Li 0.0000 0.0000 0.0000 (multiplicity 3)
Si 0.0000 0.0000 0.5000 (multiplicity 3)
O 0.0000 0.0000 0.1245 (multiplicity 6)

As for the crystal system: trigonal.

=====

(7)
VASP calculation (PBE) on a geometry-optimized Li4SiO5 structure.

Lattice parameters (Å, degrees): 6.1315 6.1315 4.8615 90.00 90.00 90.00
Space group I4 (No. 79)
One atom of each set of equivalent atoms:
Li 0.0570 0.2947 0.0000 (multiplicity 8)
Si 0.0000 0.0000 0.4888 (multiplicity 2)
O 0.0000 0.0000 0.1444 (multiplicity 2)
O 0.0682 0.2610 0.5866 (multiplicity 8)

As for the crystal system: tetragonal.

=====

(8)
VASP calculation (PBE) on a geometry-optimized LiSm2SiO structure.

Lattice parameters (Å, degrees): 4.8172 4.8172 4.0628 90.00 90.00 90.00
Space group P4/mmm (No. 123)
One atom of each set of equivalent atoms:
Li 0.0000 0.0000 0.0000 (multiplicity 1)
Sm 0.0000 0.5000 0.5000 (multiplicity 2)
Si 0.5000 0.5000 0.0000 (multiplicity 1)
O 0.0000 0.0000 0.5000 (multiplicity 1)

As for the crystal system: tetragonal.

=====

(9)
VASP calculation (PBE) on a geometry-optimized SrLiSiO2 structure.

Lattice parameters (Å, degrees): 4.1044 4.1044 4.2042 90.00 90.00 90.00
Space group P4/mmm (No. 123)
One atom of each set of equivalent atoms:
Sr 0.0000 0.0000 0.0000 (multiplicity 1)
Li 0.0000 0.0000 0.5000 (multiplicity 1)
Si 0.5000 0.5000 0.0000 (multiplicity 1)
O 0.0000 0.5000 0.5000 (multiplicity 2)

As for the crystal system: tetragonal.

=====

(10)
VASP calculation (PBE) on a geometry-optimized Sr2LiSiO structure.

Lattice parameters (Å, degrees): 5.2626 5.2626 3.9322 90.00 90.00 90.00
Space group P4/mmm (No. 123)
One atom of each set of equivalent atoms:
Sr 0.0000 0.5000 0.0000 (multiplicity 2)
Li 0.0000 0.0000 0.5000 (multiplicity 1)
Si 0.5000 0.5000 0.5000 (multiplicity 1)
O 0.0000 0.0000 0.0000 (multiplicity 1)

As for the crystal system: tetragonal.

=====

(11)
VASP calculation (PBE) on a geometry-optimized Sr2LiSiO4 structure.

Lattice parameters (Å, degrees): 5.8713 5.8713 13.8271 90.00 90.00 120.00
Space group P3_121 (No. 152)
One atom of each set of equivalent atoms:
Sr 0.2073 0.5541 0.4267 (multiplicity 6)
Li 0.0000 0.7807 0.6667 (multiplicity 3)
Si 0.0000 0.1718 0.1667 (multiplicity 3)
O 0.0526 0.3661 0.2618 (multiplicity 6)
O 0.1099 0.8462 0.5281 (multiplicity 6)

As for the crystal system: trigonal.

=====

Number 1: uncorrected energy -3.608 eV/atom. Number 2: uncorrected energy -3.682 eV/atom. Number 3: uncorrected energy -4.755 eV/atom. Number 4: uncorrected energy -5.905 eV/atom. Number 5: uncorrected energy -6.018 eV/atom. Number 6: uncorrected energy -5.965 eV/atom. Number 7: uncorrected energy -5.708 eV/atom. Number 8: uncorrected energy -5.807 eV/atom. Number 9: uncorrected energy -3.978 eV/atom. Number 10: uncorrected energy -4.344 eV/atom. Number 11: uncorrected energy -6.354 eV/atom.